An optimized crystal structure of Cs2KSnPd, computed with GGA-PBE.

Total energy ... -0.17947 Ry/atom
Formation energy ... -0.209 eV/f.u.
M_tot ... 0.000 μB per formula unit

Cell: 6.8588 6.8588 5.2766 Å, 90.00 90.00 90.00°
Space group P4/mmm (No. 123)
One atom of each set of equivalent atoms:
1 Cs 0.0000 0.5000 0.0000 [2 per cell]
2 K 0.0000 0.0000 0.5000 [1 per cell]
3 Sn 0.5000 0.5000 0.5000 [1 per cell]
4 Pd 0.5000 0.5000 0.0000 [1 per cell]

An optimized crystal structure of Pm4CuPd3, computed with GGA-PBE.

Total energy ... -0.40472 Ry/atom
Formation energy ... -5.375 eV/f.u.
M_tot ... 0.000 μB per formula unit

Cell: 3.8643 4.6292 10.7803 Å, 90.00 90.00 90.00°
Space group Pmm2 (No. 25)
One atom of each set of equivalent atoms:
1 Pm 0.0000 0.0000 0.0000 [1 per cell]
2 Pm 0.0000 0.5000 0.2747 [1 per cell]
3 Pm 0.5000 0.0000 0.4980 [1 per cell]
4 Pm 0.5000 0.5000 0.7742 [1 per cell]
5 Cu 0.0000 0.0000 0.7122 [1 per cell]
6 Pd 0.0000 0.5000 0.5602 [1 per cell]
7 Pd 0.5000 0.0000 0.2226 [1 per cell]
8 Pd 0.5000 0.5000 0.0509 [1 per cell]

An optimized crystal structure of RbPdRu3, computed with GGA-PBE.

Total energy ... -0.27708 Ry/atom
Formation energy ... 15.139 eV/f.u.
M_tot ... 5.347 μB per formula unit

Cell: 4.7081 4.7081 4.7081 Å, 90.00 90.00 90.00°
Space group Pm-3m (No. 221)
One atom of each set of equivalent atoms:
1 Rb 0.0000 0.0000 0.0000 [1 per cell]
2 Pd 0.5000 0.5000 0.5000 [1 per cell]
3 Ru 0.0000 0.0000 0.5000 [3 per cell]

An optimized crystal structure of Ce6GaPt2, computed with GGA-PBE.

Total energy ... -0.45657 Ry/atom
Formation energy ... -5.196 eV/f.u.
M_tot ... 3.506 μB per formula unit

Cell: 10.3425 4.7534 8.8624 Å, 90.00 91.63 90.00°
Space group C2/m (No. 12)
One atom of each set of equivalent atoms:
1 Ce 0.0632 0.0000 0.3508 [4 per cell]
2 Ce 0.0954 0.5000 0.6878 [4 per cell]
3 Ce 0.1993 0.5000 0.0779 [4 per cell]
4 Ga 0.0000 0.0000 0.0000 [2 per cell]
5 Pt 0.2409 0.5000 0.3914 [4 per cell]

Computed calculated volume (Å³ per cell) in order:
248, 193, 104, 436